(1)
DFT (PBE) results for a geometry-optimized TbCdAsO5 structure.

Unit cell a=8.1938 b=9.0965 c=8.1383 alpha=90.00 beta=117.99 gamma=90.00
With the nearest neighbours (Å) after each atom.
Space group C2/c (No. 15)
Symmetry-distinct sites (fractional):
1 Tb 0.0000 0.0000 0.0000  6 O 2.20-2.34
2 Cd 0.0000 0.3193 0.2500  3 O 2.06-2.28
3 As 0.0000 0.3504 0.7500  4 O 1.71-1.74
4 O 0.0000 0.0934 0.2500  1 Cd 2.06, 2 Tb 2.20
5 O 0.0308 0.2449 0.5926  1 As 1.71
6 O 0.1788 0.4762 0.8614  1 As 1.74

Properties
E_form (uncorrected), eV/atom: -1.9622
Total magnetization, μB/f.u.: 0.000
Volume, Å³/cell: 535.6
Total energy, eV per cell: -202.73



(2)
DFT (PBE) results for a geometry-optimized CdTeAs2O structure.

Unit cell a=4.5187 b=4.5187 c=4.8959 alpha=90.00 beta=90.00 gamma=90.00
With the nearest neighbours (Å) after each atom.
Space group P4/mmm (No. 123)
Symmetry-distinct sites (fractional):
1 Cd 0.0000 0.0000 0.0000  2 O 2.45
2 Te 0.5000 0.5000 0.0000  4 Cd 3.20, 8 As 3.33
3 As 0.0000 0.5000 0.5000  2 O 2.26
4 O 0.0000 0.0000 0.5000  4 As 2.26, 2 Cd 2.45

Properties
E_form (uncorrected), eV/atom: 0.1311
Total magnetization, μB/f.u.: 0.000
Volume, Å³/cell: 100.0
Total energy, eV per cell: -17.66



(3)
DFT (PBE) results for a geometry-optimized TiCdAsO6 structure.

Unit cell a=5.1223 b=5.1223 c=9.5307 alpha=90.00 beta=90.00 gamma=120.00
With the nearest neighbours (Å) after each atom.
Space group P-31c (No. 163)
Symmetry-distinct sites (fractional):
1 Ti 0.3333 0.6667 0.2500  6 O 1.97
2 Cd 0.0000 0.0000 0.0000  6 O 2.34
3 As 0.3333 0.6667 0.7500  6 O 1.86
4 O 0.0170 0.3798 0.6427  1 As 1.86, 1 Ti 1.97

Properties
E_form (uncorrected), eV/atom: -1.6136
Total magnetization, μB/f.u.: 0.952
Volume, Å³/cell: 216.6
Total energy, eV per cell: -115.46



(4)
DFT (PBE) results for a geometry-optimized TiCdAsO5 structure.

Unit cell a=6.9902 b=8.9614 c=7.3218 alpha=90.00 beta=114.31 gamma=90.00
With the nearest neighbours (Å) after each atom.
Space group C2/c (No. 15)
Symmetry-distinct sites (fractional):
1 Ti 0.0000 0.0000 0.0000  6 O 1.92-2.11
2 Cd 0.0000 0.3178 0.2500  3 O 2.28-2.46
3 As 0.0000 0.3260 0.7500  4 O 1.74-1.76
4 O 0.0000 0.0638 0.2500  2 Ti 1.92
5 O 0.0999 0.2173 0.6084  1 As 1.76
6 O 0.1842 0.4513 0.9078  1 As 1.74

Properties
E_form (uncorrected), eV/atom: -1.7282
Total magnetization, μB/f.u.: 0.697
Volume, Å³/cell: 418.0
Total energy, eV per cell: -208.31



(5)
DFT (PBE) results for a geometry-optimized Tl2CdAsO4 structure.

Unit cell a=5.8487 b=11.3932 c=20.8751 alpha=90.00 beta=90.00 gamma=90.00
With the nearest neighbours (Å) after each atom.
Space group Fddd (No. 70, origin choice 2)
Symmetry-distinct sites (fractional):
1 Tl 0.1250 0.1250 0.2997  6 O 3.11-3.46
2 Cd 0.1250 0.1250 0.1250  4 O 2.31
3 As 0.1250 0.1250 0.6250  4 O 1.74
4 O 0.0574 0.2847 0.8312  1 As 1.74

Properties
E_form (uncorrected), eV/atom: -0.8175
Total magnetization, μB/f.u.: 0.000
Volume, Å³/cell: 1391.0
Total energy, eV per cell: -293.36



(6)
DFT (PBE) results for a geometry-optimized TlCdAs2O8 structure.

Unit cell a=7.3000 b=7.3000 c=6.3420 alpha=90.00 beta=90.00 gamma=90.00
With the nearest neighbours (Å) after each atom.
Space group I-4m2 (No. 119)
Symmetry-distinct sites (fractional):
1 Tl 0.0000 0.0000 0.0000  8 O 2.39-2.40
2 Cd 0.0000 0.5000 0.7500  8 O 2.40-2.42
3 As 0.0000 0.0000 0.5000  4 O 1.73
4 As 0.0000 0.5000 0.2500  4 O 1.72
5 O 0.0000 0.1772 0.6811  1 As 1.73
6 O 0.0000 0.3214 0.0721  1 As 1.72

Properties
E_form (uncorrected), eV/atom: -0.8955
Total magnetization, μB/f.u.: 1.120
Volume, Å³/cell: 338.0
Total energy, eV per cell: -125.98



(7)
DFT (PBE) results for a geometry-optimized Tl3CdAs2O6 structure.

Unit cell a=5.9791 b=5.9791 c=6.8343 alpha=90.00 beta=90.00 gamma=120.00
With the nearest neighbours (Å) after each atom.
Space group P-3m1 (No. 164)
Symmetry-distinct sites (fractional):
1 Tl 0.0000 0.0000 0.0000  6 O 2.60
2 Tl 0.3333 0.6667 0.6655  9 O 3.02-3.15, 1 As 3.38
3 Cd 0.0000 0.0000 0.5000  6 O 2.39
4 As 0.3333 0.6667 0.1596  3 O 1.81
5 O 0.1752 0.3505 0.2719  1 As 1.81

Properties
E_form (uncorrected), eV/atom: -0.9283
Total magnetization, μB/f.u.: 0.000
Volume, Å³/cell: 211.6
Total energy, eV per cell: -58.20



(8)
DFT (PBE) results for a geometry-optimized TlCdAsO5 structure.

Unit cell a=7.7890 b=9.3996 c=7.4220 alpha=90.00 beta=114.48 gamma=90.00
With the nearest neighbours (Å) after each atom.
Space group C2/c (No. 15)
Symmetry-distinct sites (fractional):
1 Tl 0.0000 0.0000 0.0000  2 O 2.08
2 Cd 0.0000 0.3273 0.2500  3 O 2.14-2.31
3 As 0.0000 0.3491 0.7500  4 O 1.72-1.74
4 O 0.0000 0.0995 0.2500  2 Tl 2.08, 1 Cd 2.14
5 O 0.0755 0.2460 0.6047  1 As 1.72
6 O 0.1686 0.4704 0.8976  1 As 1.74

Properties
E_form (uncorrected), eV/atom: -1.0322
Total magnetization, μB/f.u.: 0.000
Volume, Å³/cell: 494.6
Total energy, eV per cell: -163.92



(9)
DFT (PBE) results for a geometry-optimized TmCdAsO5 structure.

Unit cell a=8.0089 b=9.0083 c=8.0007 alpha=90.00 beta=117.64 gamma=90.00
With the nearest neighbours (Å) after each atom.
Space group C2/c (No. 15)
Symmetry-distinct sites (fractional):
1 Tm 0.0000 0.0000 0.0000  6 O 2.15-2.28
2 Cd 0.0000 0.3172 0.2500  3 O 2.06-2.28
3 As 0.0000 0.3483 0.7500  4 O 1.71-1.74
4 O 0.0000 0.0882 0.2500  1 Cd 2.06, 2 Tm 2.15
5 O 0.0363 0.2416 0.5926  1 As 1.71
6 O 0.1810 0.4750 0.8661  1 As 1.74

Properties
E_form (uncorrected), eV/atom: -1.9951
Total magnetization, μB/f.u.: 0.000
Volume, Å³/cell: 511.4
Total energy, eV per cell: -203.15